No. 1
Computed, not measured: crystalline Pr2DyGe3Ir4 at its relaxed geometry at the PBE level of DFT.

Unit cell a=4.218 b=4.218 c=11.260 alpha=90.00 beta=90.00 gamma=90.00
Space group P-4m2 (No. 115)
Symmetry-distinct sites (fractional):
Pr  0.000  0.500  0.231 x2
Dy  0.000  0.000  0.500 x1
Ge  0.000  0.500  0.879 x2
Ge  0.500  0.500  0.500 x1
Ir  0.000  0.000  0.000 x1
Ir  0.000  0.500  0.659 x2
Ir  0.500  0.500  0.000 x1

## Properties
The formation energy comes out at -17.989 kcal/mol of atoms. For the size of the total moment, the calculation gives 0.00 μB/f.u. As for the mass density: 11.9 Mg/m³.

No. 2
Computed, not measured: crystalline CuHgTe2 at its relaxed geometry at the PBE level of DFT.

Unit cell a=6.670 b=4.005 c=16.614 alpha=90.00 beta=90.00 gamma=90.00
Space group Pnma (No. 62)
Symmetry-distinct sites (fractional):
Cu  0.046  0.250  0.052 x4
Hg  0.010  0.250  0.694 x4
Te  0.166  0.750  0.817 x4
Te  0.212  0.250  0.539 x4

## Properties
The energy relative to the elements, uncorrected is 18.4 meV per atom. For the size of the total moment, the calculation gives 0.00 μB/f.u. As for the mass density: 7.8 Mg/m³.

No. 3
Computed, not measured: crystalline ReCl at its relaxed geometry at the PBE level of DFT.

Unit cell a=2.787 b=2.787 c=4.026 alpha=90.00 beta=90.00 gamma=90.00
Space group P4/mmm (No. 123)
Symmetry-distinct sites (fractional):
Re  0.000  0.000  0.000 x1
Cl  0.500  0.500  0.500 x1

## Properties
The energy relative to the elements, uncorrected is 1725.0 meV per atom. For the size of the total moment, the calculation gives 0.00 μB/f.u. As for the mass density: 11.8 Mg/m³. The calculation puts the polymorph energy (0 for the lowest one) at 177.2 kJ per mole of atoms.

No. 4
Computed, not measured: crystalline Pm12Sm3Pb5 at its relaxed geometry at the PBE level of DFT.

Unit cell a=18.734 b=18.734 c=18.734 alpha=90.00 beta=90.00 gamma=90.00
Space group Ia-3d (No. 230)
Symmetry-distinct sites (fractional):
Pm  0.025  0.076  0.646 x96
Sm  0.000  0.250  0.125 x24
Pb  0.000  0.000  0.000 x16
Pb  0.000  0.250  0.375 x24

## Properties
The formation energy comes out at 8.398 kcal/mol of atoms. For the size of the total moment, the calculation gives 0.04 μB/f.u. As for the mass density: 6.5 Mg/m³.

No. 5
Computed, not measured: crystalline HoNbFe4 at its relaxed geometry at the PBE level of DFT.

Unit cell a=4.9679 b=4.9679 c=8.1569 alpha=90.00 beta=90.00 gamma=120.00
Space group P-3m1 (No. 164)
Symmetry-distinct sites (fractional):
Ho  0.3333  0.6667  0.0675 x2
Nb  0.3333  0.6667  0.4445 x2
Fe  0.0000  0.0000  0.0000 x1
Fe  0.0000  0.0000  0.5000 x1
Fe  0.1677  0.3353  0.7359 x6

## Properties
The formation energy comes out at -2.113 kcal/mol of atoms. For the size of the total moment, the calculation gives 6.36 μB/f.u. As for the mass density: 9.2 Mg/m³. The calculation puts the polymorph energy (0 for the lowest one) at 0.0 kJ per mole of atoms.

No. 6
Computed, not measured: crystalline CrBiH2Ir at its relaxed geometry at the PBE level of DFT.

Unit cell a=3.777 b=3.777 c=5.337 alpha=90.00 beta=90.00 gamma=90.00
Space group P4/mmm (No. 123)
Symmetry-distinct sites (fractional):
Cr  0.000  0.000  0.000 x1
Bi  0.500  0.500  0.500 x1
H  0.000  0.500  0.000 x2
Ir  0.000  0.000  0.500 x1

## Properties
The total energy is -5.267 eV per atom. For the size of the total moment, the calculation gives 3.48 μB/f.u. As for the mass density: 9.9 Mg/m³.

No. 7
Computed, not measured: crystalline CePm2Pr6Er at its relaxed geometry at the PBE level of DFT.

Unit cell a=11.498 b=7.103 c=8.972 alpha=90.00 beta=104.91 gamma=90.00
Space group C2/m (No. 12)
Symmetry-distinct sites (fractional):
Ce  0.000  0.000  0.000 x2
Pm  0.089  0.500  0.167 x4
Pr  0.122  0.000  0.414 x4
Pr  0.177  0.264  0.795 x8
Er  0.000  0.500  0.500 x2

## Properties
The formation energy comes out at 5.207 kcal/mol of atoms. For the size of the total moment, the calculation gives 0.94 μB/f.u. As for the mass density: 6.8 Mg/m³.

No. 8
Computed, not measured: crystalline Sr2LaMo at its relaxed geometry at the PBE level of DFT.

Unit cell a=8.190 b=8.190 c=8.190 alpha=90.00 beta=90.00 gamma=90.00
Space group Fm-3m (No. 225)
Symmetry-distinct sites (fractional):
Sr  0.250  0.250  0.250 x8
La  0.000  0.000  0.000 x4
Mo  0.000  0.000  0.500 x4

## Properties
The formation energy comes out at 20.605 kcal/mol of atoms. For the size of the total moment, the calculation gives 2.83 μB/f.u. As for the mass density: 5.0 Mg/m³. The calculation puts the polymorph energy (0 for the lowest one) at 36.0 kJ per mole of atoms.

The lowest mass density belongs to which entry? Sr2LaMo

Among the records above, which one has the lowest mass density? Sr2LaMo

Which of these has the lowest mass density? Sr2LaMo